Record 1
! GePtW2, optimized geometry, DFT GGA-PBE; values from VASP
&SYSTEM
  ibrav = 0, nat = 8, ntyp = 3
/
ATOMIC_SPECIES
Ge 72.64 Ge.upf
Pt 195.08 Pt.upf
W 183.84 W.upf
ATOMIC_POSITIONS angstrom
Ge 0.000 0.000 0.000
Ge 0.000 2.913 2.754
Pt 2.913 0.000 2.754
Pt 0.000 0.000 5.508
W 1.457 -1.410 4.131
W 1.503 1.457 1.377
W 1.457 4.323 -1.377
W 1.410 1.457 6.885
CELL_PARAMETERS angstrom
-2.913 2.913 5.508
2.913 -2.913 5.508
2.913 2.913 -5.508
! Electronic total energy   -7.8640 eV/atom
! Space-group type   No. 122
! DFT formation energy   1.277 eV/atom
! Crystal system   tetragonal

Record 2
! Tm3AsP2Rh9, optimized geometry, DFT GGA-PBE; values from VASP
&SYSTEM
  ibrav = 0, nat = 15, ntyp = 4
/
ATOMIC_SPECIES
Tm 168.93 Tm.upf
As 74.92 As.upf
P 30.97 P.upf
Rh 102.91 Rh.upf
ATOMIC_POSITIONS angstrom
Tm 0.000 0.000 0.000
Tm 0.000 3.513 6.172
Tm 3.042 1.756 2.461
As 0.000 0.000 4.317
P 0.000 3.513 1.465
P 3.042 1.756 7.169
Rh -1.521 2.635 0.000
Rh 0.000 1.579 2.451
Rh -1.674 4.480 2.451
Rh 1.368 0.790 6.183
Rh 3.042 0.000 0.000
Rh 1.521 2.635 0.000
Rh 1.674 4.480 2.451
Rh 4.717 0.790 6.183
Rh 3.042 3.690 6.183
CELL_PARAMETERS angstrom
6.084 0.000 0.000
-3.042 5.269 0.000
0.000 0.000 8.634
! Electronic total energy   -7.0307 eV/atom
! Space-group type   No. 164
! DFT formation energy   -0.694 eV/atom
! Crystal system   trigonal

Record 3
! ZnMo, optimized geometry, DFT GGA-PBE; values from VASP
&SYSTEM
  ibrav = 0, nat = 2, ntyp = 2
/
ATOMIC_SPECIES
Zn 65.41 Zn.upf
Mo 95.94 Mo.upf
ATOMIC_POSITIONS angstrom
Zn 0.000 0.000 0.000
Mo 1.683 1.683 1.318
CELL_PARAMETERS angstrom
3.366 0.000 0.000
0.000 3.366 0.000
0.000 0.000 2.637
! Electronic total energy   -5.7700 eV/atom
! Space-group type   No. 123
! DFT formation energy   0.283 eV/atom
! Crystal system   tetragonal

Record 4
! La3Nd4Dy4, optimized geometry, DFT GGA-PBE; values from VASP
&SYSTEM
  ibrav = 0, nat = 11, ntyp = 3
/
ATOMIC_SPECIES
La 138.91 La.upf
Nd 144.24 Nd.upf
Dy 162.50 Dy.upf
ATOMIC_POSITIONS angstrom
La 0.000 0.000 0.000
La 7.189 0.000 3.207
La 11.606 0.000 0.356
Nd 6.244 3.075 1.180
Nd 12.551 3.075 2.383
Nd 6.244 -3.075 1.180
Nd 12.551 -3.075 2.383
Dy 4.479 0.000 0.851
Dy 9.397 2.426 1.782
Dy 9.397 -2.426 1.782
Dy 14.316 0.000 2.712
CELL_PARAMETERS angstrom
9.731 -5.662 0.000
9.731 5.662 0.000
-0.666 0.000 3.563
! Electronic total energy   -4.5858 eV/atom
! Space-group type   No. 12
! DFT formation energy   0.165 eV/atom
! Crystal system   monoclinic

Q: Which value of DFT formation energy does entry 1 give?
A: 1.277 eV/atom